[1]
# K2RuCl, optimized geometry, DFT PBE
# Total moment (μB per cell): 2.11
# Energy above the most stable polymorph in this dataset (kJ/mol of formula units): 63
# Calculated total energy (hartree per atom): -0.116
data_K2RuCl
_chemical_formula_sum 'K2 Ru1 Cl1'
_cell_length_a 3.493
_cell_length_b 3.493
_cell_length_c 10.236
_cell_angle_alpha 90.00
_cell_angle_beta 90.00
_cell_angle_gamma 90.00
_space_group_name_H-M_alt 'P 1'
_space_group_IT_number 1
_space_group_name_Hall 'P 1'
loop_
_atom_site_label
_atom_site_fract_x
_atom_site_fract_y
_atom_site_fract_z
K1 0.000 0.000 0.000
K2 0.500 0.500 0.448
Ru1 0.000 0.000 0.681
Cl1 0.500 0.500 0.161


[2]
# K2RuCl, optimized geometry, DFT PBE
# Total moment (μB per cell): 3.00
# Energy above the most stable polymorph in this dataset (kJ/mol of formula units): 130
# Calculated total energy (hartree per atom): -0.109
data_K2RuCl
_chemical_formula_sum 'K2 Ru1 Cl1'
_cell_length_a 6.315
_cell_length_b 6.315
_cell_length_c 6.315
_cell_angle_alpha 138.06
_cell_angle_beta 113.46
_cell_angle_gamma 81.84
_space_group_name_H-M_alt 'P 1'
_space_group_IT_number 1
_space_group_name_Hall 'P 1'
loop_
_atom_site_label
_atom_site_fract_x
_atom_site_fract_y
_atom_site_fract_z
K1 0.214 0.214 0.000
K2 0.786 0.786 0.000
Ru1 0.500 0.000 0.500
Cl1 0.000 0.500 0.500


[3]
# K2RuCl, optimized geometry, DFT PBE
# Total moment (μB per cell): 2.28
# Energy above the most stable polymorph in this dataset (kJ/mol of formula units): 81
# Calculated total energy (hartree per atom): -0.114
data_K2RuCl
_chemical_formula_sum 'K2 Ru1 Cl1'
_cell_length_a 6.547
_cell_length_b 6.547
_cell_length_c 5.828
_cell_angle_alpha 90.67
_cell_angle_beta 90.67
_cell_angle_gamma 28.96
_space_group_name_H-M_alt 'P 1'
_space_group_IT_number 1
_space_group_name_Hall 'P 1'
loop_
_atom_site_label
_atom_site_fract_x
_atom_site_fract_y
_atom_site_fract_z
K1 0.000 0.000 0.000
K2 0.232 0.232 0.500
Ru1 0.742 0.742 0.000
Cl1 0.516 0.516 0.502


[4]
# K2RuCl, optimized geometry, DFT PBE
# Total moment (μB per cell): 2.03
# Energy above the most stable polymorph in this dataset (kJ/mol of formula units): 0
# Calculated total energy (hartree per atom): -0.122
data_K2RuCl
_chemical_formula_sum 'K2 Ru1 Cl1'
_cell_length_a 3.376
_cell_length_b 3.376
_cell_length_c 9.247
_cell_angle_alpha 90.00
_cell_angle_beta 90.00
_cell_angle_gamma 90.00
_space_group_name_H-M_alt 'P 1'
_space_group_IT_number 1
_space_group_name_Hall 'P 1'
loop_
_atom_site_label
_atom_site_fract_x
_atom_site_fract_y
_atom_site_fract_z
K1 0.000 0.000 0.216
K2 0.000 0.000 0.784
Ru1 0.500 0.500 0.500
Cl1 0.500 0.500 0.000


[5]
# KRu2Cl, optimized geometry, DFT PBE
# Total moment (μB per cell): 1.44
# Energy above the most stable polymorph in this dataset (kJ/mol of formula units): 361
# Calculated total energy (hartree per atom): -0.158
data_KRu2Cl
_chemical_formula_sum 'K1 Ru2 Cl1'
_cell_length_a 9.827
_cell_length_b 9.827
_cell_length_c 9.827
_cell_angle_alpha 17.15
_cell_angle_beta 17.15
_cell_angle_gamma 17.15
_space_group_name_H-M_alt 'P 1'
_space_group_IT_number 1
_space_group_name_Hall 'P 1'
loop_
_atom_site_label
_atom_site_fract_x
_atom_site_fract_y
_atom_site_fract_z
K1 0.000 0.000 0.000
Ru1 0.233 0.233 0.233
Ru2 0.767 0.767 0.767
Cl1 0.500 0.500 0.500


[6]
# KRu2Cl, optimized geometry, DFT PBE
# Total moment (μB per cell): 1.21
# Energy above the most stable polymorph in this dataset (kJ/mol of formula units): 208
# Calculated total energy (hartree per atom): -0.173
data_KRu2Cl
_chemical_formula_sum 'K1 Ru2 Cl1'
_cell_length_a 5.855
_cell_length_b 5.855
_cell_length_c 5.855
_cell_angle_alpha 144.10
_cell_angle_beta 113.74
_cell_angle_gamma 77.72
_space_group_name_H-M_alt 'P 1'
_space_group_IT_number 1
_space_group_name_Hall 'P 1'
loop_
_atom_site_label
_atom_site_fract_x
_atom_site_fract_y
_atom_site_fract_z
K1 0.000 0.000 0.000
Ru1 0.360 0.860 0.500
Ru2 0.517 0.517 0.000
Cl1 0.714 0.214 0.500


[7]
# K2RuCl7, optimized geometry, DFT PBE
# Total moment (μB per cell): 1.47
# Calculated total energy (hartree per atom): -0.123
data_K2RuCl7
_chemical_formula_sum 'K4 Ru2 Cl14'
_cell_length_a 9.167
_cell_length_b 9.167
_cell_length_c 12.309
_cell_angle_alpha 125.75
_cell_angle_beta 125.75
_cell_angle_gamma 46.70
_space_group_name_H-M_alt 'P 1'
_space_group_IT_number 1
_space_group_name_Hall 'P 1'
loop_
_atom_site_label
_atom_site_fract_x
_atom_site_fract_y
_atom_site_fract_z
K1 0.063 0.698 0.958
K2 0.302 0.937 0.542
K3 0.698 0.063 0.458
K4 0.937 0.302 0.042
Ru1 0.266 0.734 0.750
Ru2 0.734 0.266 0.250
Cl1 0.091 0.101 0.772
Cl2 0.101 0.091 0.272
Cl3 0.185 0.651 0.506
Cl4 0.212 0.468 0.689
Cl5 0.349 0.815 0.994
Cl6 0.403 0.597 0.250
Cl7 0.468 0.212 0.189
Cl8 0.532 0.788 0.811
Cl9 0.597 0.403 0.750
Cl10 0.651 0.185 0.006
Cl11 0.788 0.532 0.311
Cl12 0.815 0.349 0.494
Cl13 0.899 0.909 0.728
Cl14 0.909 0.899 0.228


[8]
# KRu2Cl, optimized geometry, DFT PBE
# Total moment (μB per cell): 0.00
# Energy above the most stable polymorph in this dataset (kJ/mol of formula units): 29
# Calculated total energy (hartree per atom): -0.190
data_KRu2Cl
_chemical_formula_sum 'K1 Ru2 Cl1'
_cell_length_a 3.819
_cell_length_b 3.819
_cell_length_c 8.200
_cell_angle_alpha 106.02
_cell_angle_beta 106.02
_cell_angle_gamma 56.61
_space_group_name_H-M_alt 'P 1'
_space_group_IT_number 1
_space_group_name_Hall 'P 1'
loop_
_atom_site_label
_atom_site_fract_x
_atom_site_fract_y
_atom_site_fract_z
K1 0.000 0.000 0.000
Ru1 0.173 0.173 0.650
Ru2 0.451 0.451 0.528
Cl1 0.785 0.785 0.278


[9]
# KRu2Cl, optimized geometry, DFT PBE
# Total moment (μB per cell): 0.05
# Energy above the most stable polymorph in this dataset (kJ/mol of formula units): 189
# Calculated total energy (hartree per atom): -0.175
data_KRu2Cl
_chemical_formula_sum 'K1 Ru2 Cl1'
_cell_length_a 6.245
_cell_length_b 6.245
_cell_length_c 4.698
_cell_angle_alpha 111.91
_cell_angle_beta 111.91
_cell_angle_gamma 26.58
_space_group_name_H-M_alt 'P 1'
_space_group_IT_number 1
_space_group_name_Hall 'P 1'
loop_
_atom_site_label
_atom_site_fract_x
_atom_site_fract_y
_atom_site_fract_z
K1 0.000 0.000 0.000
Ru1 0.215 0.215 0.674
Ru2 0.785 0.785 0.326
Cl1 0.500 0.500 0.500


[10]
# KRu2Cl, optimized geometry, DFT PBE
# Total moment (μB per cell): 1.55
# Energy above the most stable polymorph in this dataset (kJ/mol of formula units): 223
# Calculated total energy (hartree per atom): -0.172
data_KRu2Cl
_chemical_formula_sum 'K1 Ru2 Cl1'
_cell_length_a 7.759
_cell_length_b 7.759
_cell_length_c 3.683
_cell_angle_alpha 103.69
_cell_angle_beta 103.69
_cell_angle_gamma 140.65
_space_group_name_H-M_alt 'P 1'
_space_group_IT_number 1
_space_group_name_Hall 'P 1'
loop_
_atom_site_label
_atom_site_fract_x
_atom_site_fract_y
_atom_site_fract_z
K1 0.000 0.000 0.000
Ru1 0.000 0.500 0.000
Ru2 0.500 0.000 0.000
Cl1 0.500 0.500 0.000


[11]
# KRuCl3, optimized geometry, DFT PBE
# Total moment (μB per cell): 4.00
# Energy above the most stable polymorph in this dataset (kJ/mol of formula units): 605
# Calculated total energy (hartree per atom): -0.101
data_KRuCl3
_chemical_formula_sum 'K1 Ru1 Cl3'
_cell_length_a 5.569
_cell_length_b 5.569
_cell_length_c 5.569
_cell_angle_alpha 90.00
_cell_angle_beta 90.00
_cell_angle_gamma 90.00
_space_group_name_H-M_alt 'P 1'
_space_group_IT_number 1
_space_group_name_Hall 'P 1'
loop_
_atom_site_label
_atom_site_fract_x
_atom_site_fract_y
_atom_site_fract_z
K1 0.000 0.000 0.000
Ru1 0.500 0.500 0.500
Cl1 0.000 0.000 0.500
Cl2 0.000 0.500 0.000
Cl3 0.500 0.000 0.000


[12]
# K2RuCl, optimized geometry, DFT PBE
# Total moment (μB per cell): 0.43
# Energy above the most stable polymorph in this dataset (kJ/mol of formula units): 147
# Calculated total energy (hartree per atom): -0.108
data_K2RuCl
_chemical_formula_sum 'K2 Ru1 Cl1'
_cell_length_a 3.497
_cell_length_b 3.497
_cell_length_c 9.754
_cell_angle_alpha 90.00
_cell_angle_beta 90.00
_cell_angle_gamma 90.00
_space_group_name_H-M_alt 'P 1'
_space_group_IT_number 1
_space_group_name_Hall 'P 1'
loop_
_atom_site_label
_atom_site_fract_x
_atom_site_fract_y
_atom_site_fract_z
K1 0.000 0.000 0.000
K2 0.500 0.500 0.421
Ru1 0.000 0.000 0.679
Cl1 0.500 0.500 0.739


Which of these has the highest calculated total energy? KRuCl3